(1)
PBE-GGA RbSrTi2Pb, relaxed; space group = P4/mmm (123); DFT total energy = -13.9 eV/cell; crystal system = tetragonal
1.0
5.084 0.000 0.000
0.000 5.084 0.000
0.000 0.000 5.762
Rb Sr Ti Pb
1 1 2 1
direct
0.000 0.000 0.000
0.000 0.000 0.500
0.000 0.500 0.000
0.500 0.000 0.000
0.500 0.500 0.500

---

(2)
PBE-GGA RbSr2Tl2Pb2, relaxed; space group = R-3m (166); DFT total energy = -18.2 eV/cell; crystal system = trigonal
1.0
2.799 1.616 10.537
-2.799 1.616 10.537
0.000 -3.232 10.537
Rb Sr Tl Pb
1 2 2 2
direct
0.000 0.000 0.000
0.134 0.134 0.134
0.866 0.866 0.866
0.441 0.441 0.441
0.559 0.559 0.559
0.250 0.250 0.250
0.750 0.750 0.750

---

(3)
PBE-GGA RbTaPb2, relaxed; space group = I-42d (122); offset from the most stable computed form = 0.000 eV/atom; crystal system = tetragonal
1.0
6.894 0.000 0.000
0.000 6.894 0.000
0.000 0.000 16.689
Rb Ta Pb
4 4 8
direct
0.000 0.000 0.000
0.000 0.500 0.250
0.500 0.000 0.750
0.500 0.500 0.500
0.000 0.000 0.500
0.000 0.500 0.750
0.500 0.000 0.250
0.500 0.500 0.000
0.036 0.250 0.625
0.250 0.536 0.875
0.250 0.964 0.375
0.464 0.250 0.125
0.536 0.750 0.125
0.750 0.036 0.375
0.750 0.464 0.875
0.964 0.750 0.625

---

(4)
PBE-GGA RbTa2Pb, relaxed; space group = I-42d (122); DFT total energy = -83.3 eV/cell; crystal system = tetragonal
1.0
8.672 0.000 0.000
0.000 8.672 0.000
0.000 0.000 5.929
Rb Ta Pb
4 8 4
direct
0.000 0.000 0.000
0.000 0.500 0.250
0.500 0.000 0.750
0.500 0.500 0.500
0.206 0.250 0.625
0.250 0.706 0.875
0.250 0.794 0.375
0.294 0.250 0.125
0.706 0.750 0.125
0.750 0.206 0.375
0.750 0.294 0.875
0.794 0.750 0.625
0.000 0.000 0.500
0.000 0.500 0.750
0.500 0.000 0.250
0.500 0.500 0.000

---

(5)
PBE-GGA Rb2TaPb, relaxed; space group = I-42d (122); DFT total energy = -52.4 eV/cell; crystal system = tetragonal
1.0
13.836 0.000 0.000
0.000 13.836 0.000
0.000 0.000 5.521
Rb Ta Pb
8 4 4
direct
0.050 0.250 0.125
0.250 0.550 0.375
0.250 0.950 0.875
0.450 0.250 0.625
0.550 0.750 0.625
0.750 0.050 0.875
0.750 0.450 0.375
0.950 0.750 0.125
0.000 0.000 0.000
0.000 0.500 0.250
0.500 0.000 0.750
0.500 0.500 0.500
0.000 0.000 0.500
0.000 0.500 0.750
0.500 0.000 0.250
0.500 0.500 0.000

---

(6)
PBE-GGA RbTa3Pb, relaxed; space group = Pm-3m (221); offset from the most stable computed form = 0.000 eV/atom; crystal system = cubic
1.0
5.342 0.000 0.000
0.000 5.342 0.000
0.000 0.000 5.342
Rb Ta Pb
1 3 1
direct
0.000 0.000 0.000
0.000 0.500 0.500
0.500 0.000 0.500
0.500 0.500 0.000
0.500 0.500 0.500

---

(7)
PBE-GGA RbTaPb2, relaxed; space group = Fm-3m (225); offset from the most stable computed form = 0.218 eV/atom; crystal system = cubic
1.0
7.704 0.000 0.000
0.000 7.704 0.000
0.000 0.000 7.704
Rb Ta Pb
4 4 8
direct
0.000 0.000 0.000
0.000 0.500 0.500
0.500 0.000 0.500
0.500 0.500 0.000
0.000 0.000 0.500
0.000 0.500 0.000
0.500 0.000 0.000
0.500 0.500 0.500
0.250 0.250 0.250
0.250 0.250 0.750
0.250 0.750 0.250
0.250 0.750 0.750
0.750 0.250 0.250
0.750 0.250 0.750
0.750 0.750 0.250
0.750 0.750 0.750

---

(8)
PBE-GGA RbTa3Pb, relaxed; space group = Pm-3m (221); offset from the most stable computed form = 0.554 eV/atom; crystal system = cubic
1.0
4.900 0.000 0.000
0.000 4.900 0.000
0.000 0.000 4.900
Rb Ta Pb
1 3 1
direct
0.000 0.000 0.000
0.000 0.000 0.500
0.000 0.500 0.000
0.500 0.000 0.000
0.500 0.500 0.500

---

(9)
PBE-GGA Rb3TaPb, relaxed; space group = Pm-3m (221); DFT total energy = -11.1 eV/cell; crystal system = cubic
1.0
6.855 0.000 0.000
0.000 6.855 0.000
0.000 0.000 6.855
Rb Ta Pb
3 1 1
direct
0.000 0.000 0.500
0.000 0.500 0.000
0.500 0.000 0.000
0.000 0.000 0.000
0.500 0.500 0.500

---

(10)
PBE-GGA Rb2TaTe6Pb2, relaxed; space group = C2/m (12); DFT total energy = -45.6 eV/cell; crystal system = monoclinic
1.0
3.882 -6.635 0.000
3.882 6.635 0.000
-2.864 0.000 8.618
Rb Ta Te Pb
2 1 6 2
direct
0.177 0.823 0.000
0.823 0.177 0.000
0.000 0.000 0.500
0.075 0.369 0.695
0.226 0.226 0.311
0.369 0.075 0.695
0.631 0.925 0.305
0.774 0.774 0.689
0.925 0.631 0.305
0.329 0.671 0.500
0.671 0.329 0.500

---

(11)
PBE-GGA Rb3TaTe6Pb2, relaxed; space group = C2/m (12); DFT total energy = -48.5 eV/cell; crystal system = monoclinic
1.0
3.994 -6.895 0.000
3.994 6.895 0.000
-2.673 0.000 8.317
Rb Ta Te Pb
3 1 6 2
direct
0.000 0.000 0.000
0.322 0.678 0.000
0.678 0.322 0.000
0.500 0.500 0.500
0.141 0.436 0.308
0.273 0.273 0.696
0.436 0.141 0.308
0.564 0.859 0.692
0.727 0.727 0.304
0.859 0.564 0.692
0.165 0.835 0.500
0.835 0.165 0.500

---

(12)
PBE-GGA Rb2TaTe4Pb, relaxed; space group = I-4 (82); DFT total energy = -68.1 eV/cell; crystal system = tetragonal
1.0
8.940 0.000 0.000
0.000 8.940 0.000
0.000 0.000 9.011
Rb Ta Te Pb
4 2 8 2
direct
0.000 0.000 0.000
0.000 0.500 0.250
0.500 0.000 0.750
0.500 0.500 0.500
0.000 0.000 0.500
0.500 0.500 0.000
0.158 0.195 0.654
0.195 0.842 0.346
0.305 0.658 0.846
0.342 0.305 0.154
0.658 0.695 0.154
0.695 0.342 0.846
0.805 0.158 0.346
0.842 0.805 0.654
0.000 0.500 0.750
0.500 0.000 0.250

---

What are the total magnetization values for these records? In order: 3.2 0.0 0.0 0.5 3.0 0.0 2.4 0.0 7.2 0.0 0.0 1.0 μB per formula unit.
What are the volume values for these records? In order: 148.92 286.03 793.18 445.86 1056.81 152.46 457.25 117.62 322.17 443.95 458.04 720.23 Å³ per cell.